Record 1
A plane-wave DFT calculation with PBE was carried out for crystalline CaTmCdHg at its relaxed geometry.

## Properties
- energy relative to the elements (kJ/mol of formula units) = -168
- E above lowest polymorph (meV per atom) = 0.0

Cell: 3.7503 3.7503 7.4763 Å, 90.00 90.00 90.00°
Last column: nearest neighbours and their distance in Å.
Space group P4mm (No. 99)
Asymmetric unit:
Ca1 0.0000 0.0000 0.0000  4 Hg 3.31, 4 Cd 3.33, 1 Tm 3.67
Tm1 0.0000 0.0000 0.4905  4 Hg 3.15, 4 Cd 3.20
Cd1 0.5000 0.5000 0.7306  4 Tm 3.20, 4 Ca 3.33, 1 Hg 3.49
Hg1 0.5000 0.5000 0.2641  4 Tm 3.15, 4 Ca 3.31, 1 Cd 3.49



Record 2
A plane-wave DFT calculation with PBE was carried out for crystalline Nd3Tm3ScSe8 at its relaxed geometry.

## Properties
- uncorrected formation energy (meV/atom) = -1808

Cell: 8.1346 8.1346 20.3596 Å, 90.00 90.00 120.00°
Last column: nearest neighbours and their distance in Å.
Space group R-3m (No. 166, hexagonal axes)
Asymmetric unit:
Nd1 0.0000 0.5000 0.0000  6 Se 2.97
Tm1 0.0000 0.5000 0.5000  6 Se 2.82-2.83
Sc1 0.0000 0.0000 0.5000  6 Se 2.82
Se1 0.0000 0.0000 0.2439  3 Tm 2.83, 3 Nd 2.97
Se2 0.0006 0.5003 0.2436  1 Sc 2.82, 2 Tm 2.82, 2 Nd 2.97



Record 3
A plane-wave DFT calculation with PBE was carried out for crystalline TiAg3Hg at its relaxed geometry.

## Properties
- energy relative to the elements (kJ/mol of formula units) = 484
- E above lowest polymorph (meV per atom) = 0.0

Cell: 5.1276 5.1276 5.1276 Å, 90.00 90.00 90.00°
Last column: nearest neighbours and their distance in Å.
Space group Pm-3m (No. 221)
Asymmetric unit:
Ti1 0.0000 0.0000 0.0000  6 Ag 2.56
Ag1 0.0000 0.0000 0.5000  2 Ti 2.56
Hg1 0.5000 0.5000 0.5000  12 Ag 3.63



Record 4
A plane-wave DFT calculation with PBE was carried out for crystalline La2NiW at its relaxed geometry.

## Properties
- energy relative to the elements (kJ/mol of formula units) = 106
- E above lowest polymorph (meV per atom) = 56.1

Cell: 3.2372 3.2372 9.0789 Å, 90.00 90.00 90.00°
Last column: nearest neighbours and their distance in Å.
Space group P4mm (No. 99)
Asymmetric unit:
La1 0.0000 0.0000 0.0000  4 W 3.21, 4 La 3.24, 1 Ni 3.38
La2 0.5000 0.5000 0.3936  4 Ni 3.12, 4 La 3.24, 1 W 3.25
Ni1 0.0000 0.0000 0.6275  4 W 2.55
W1 0.5000 0.5000 0.7516  4 Ni 2.55



Record 5
A plane-wave DFT calculation with PBE was carried out for crystalline LaMnSeBr2 at its relaxed geometry.

## Properties
- uncorrected formation energy (meV/atom) = -692

Cell: 5.8622 5.8622 5.7803 Å, 90.00 90.00 90.00°
Last column: nearest neighbours and their distance in Å.
Space group P4/mmm (No. 123)
Asymmetric unit:
La1 0.0000 0.0000 0.0000  2 Se 2.89, 4 Br 2.93
Mn1 0.5000 0.5000 0.5000  8 Br 4.12, 4 Se 4.15
Se1 0.0000 0.0000 0.5000  2 La 2.89
Br1 0.0000 0.5000 0.0000  2 La 2.93



Record 6
A plane-wave DFT calculation with PBE was carried out for crystalline K2RbLiBr at its relaxed geometry.

## Properties
- E above lowest polymorph (meV per atom) = 53.3
- uncorrected formation energy (meV/atom) = -486

Cell: 7.2441 7.2441 5.1954 Å, 90.00 90.00 90.00°
Last column: nearest neighbours and their distance in Å.
Space group P4/mmm (No. 123)
Asymmetric unit:
K1 0.0000 0.5000 0.0000  2 Br 3.62
Rb1 0.0000 0.0000 0.5000  8 K 4.46
Li1 0.5000 0.5000 0.5000  2 Br 2.60
Br1 0.5000 0.5000 0.0000  2 Li 2.60



Record 7
A plane-wave DFT calculation with PBE was carried out for crystalline KTcOs2 at its relaxed geometry.

## Properties
- energy relative to the elements (kJ/mol of formula units) = 319
- E above lowest polymorph (meV per atom) = 138.0

Cell: 2.7756 2.7756 9.4302 Å, 90.00 90.00 90.00°
Last column: nearest neighbours and their distance in Å.
Space group P4/mmm (No. 123)
Asymmetric unit:
K1 0.0000 0.0000 0.0000  4 K 2.78
Tc1 0.0000 0.0000 0.5000  8 Os 2.67, 4 Tc 2.78
Os1 0.5000 0.5000 0.3076  4 Tc 2.67, 4 Os 2.78



Record 8
A plane-wave DFT calculation with PBE was carried out for crystalline Pu2TlHg6 at its relaxed geometry.

## Properties
- energy relative to the elements (kJ/mol of formula units) = -96
- E above lowest polymorph (meV per atom) = 0.0

Cell: 9.0071 9.0071 3.2153 Å, 90.00 90.00 120.00°
Last column: nearest neighbours and their distance in Å.
Space group P6/mmm (No. 191)
Asymmetric unit:
Pu1 0.3333 0.6667 0.0000  2 Pu 3.22, 12 Hg 3.40
Tl1 0.0000 0.0000 0.0000  2 Tl 3.22, 12 Hg 3.41
Hg1 0.0000 0.3338 0.5000  5 Hg 2.99-3.22



Record 9
A plane-wave DFT calculation with PBE was carried out for crystalline MoAs2P at its relaxed geometry.

## Properties
- energy relative to the elements (kJ/mol of formula units) = 139

Cell: 5.1900 7.9511 3.7774 Å, 90.00 118.43 90.00°
Last column: nearest neighbours and their distance in Å.
Space group C2/m (No. 12)
Asymmetric unit:
Mo1 0.0000 0.0000 0.0000  2 P 2.59, 4 As 2.62
As1 0.2500 0.2500 0.5000  2 As 2.59, 2 Mo 2.62, 2 P 2.62
P1 0.0000 0.5000 0.0000  2 Mo 2.59, 4 As 2.62



Record 10
A plane-wave DFT calculation with PBE was carried out for crystalline Ce6OsPb3 at its relaxed geometry.

## Properties
- energy relative to the elements (kJ/mol of formula units) = -198

Cell: 11.0440 6.7747 8.2227 Å, 90.00 104.85 90.00°
Last column: nearest neighbours and their distance in Å.
Space group C2/m (No. 12)
Asymmetric unit:
Ce1 0.1164 0.2111 0.3687  1 Os 2.71, 1 Ce 2.86
Ce2 0.1522 0.5000 0.8547  1 Os 2.97
Os1 0.0000 0.5000 0.5000  6 Ce 2.71-2.97
Pb1 0.0000 0.0000 0.0000  2 Pb 3.22, 4 Ce 3.30
Pb2 0.1792 0.0000 0.7462  1 Pb 3.22, 9 Ce 3.30-3.54



Record 11
A plane-wave DFT calculation with PBE was carried out for crystalline KBiPd2 at its relaxed geometry.

## Properties
- energy relative to the elements (kJ/mol of formula units) = -2
- E above lowest polymorph (meV per atom) = 295.5

Cell: 7.0748 7.0748 7.0748 Å, 90.00 90.00 90.00°
Last column: nearest neighbours and their distance in Å.
Space group Fm-3m (No. 225)
Asymmetric unit:
K1 0.0000 0.0000 0.0000  8 Pd 3.06
Bi1 0.0000 0.0000 0.5000  8 Pd 3.06
Pd1 0.2500 0.2500 0.2500  4 K 3.06, 4 Bi 3.06



Record 12
A plane-wave DFT calculation with PBE was carried out for crystalline ZnIrI3 at its relaxed geometry.

## Properties
- E above lowest polymorph (meV per atom) = 0.0
- uncorrected formation energy (meV/atom) = 426

Cell: 5.4526 5.4526 5.4526 Å, 90.00 90.00 90.00°
Last column: nearest neighbours and their distance in Å.
Space group Pm-3m (No. 221)
Asymmetric unit:
Zn1 0.0000 0.0000 0.0000  12 I 3.86
Ir1 0.5000 0.5000 0.5000  6 I 2.73
I1 0.0000 0.5000 0.5000  2 Ir 2.73



Listing spin magnetization for the structures above in their given order: 0.00; 0.00; 1.34; 0.00; 5.98; 0.00; 0.00; 11.73; 0.00; 5.43; 0.00; 0.00 μB per formula unit.